Entry 1:
SnH3I6 | PBE | relaxed

Properties
Calculated total energy (eV/atom): -2.363
SG: P2_1, No. 4

Structure (POSCAR):
```
SnH3I6
1.0
8.672 0.000 0.000
0.000 8.074 -2.025
0.000 0.186 12.307
Sn I H
2 12 6
direct
0.496 0.400 0.369 Sn
0.996 0.600 0.631 Sn
0.238 0.335 0.639 I
0.530 0.796 0.009 I
0.738 0.665 0.361 I
0.510 0.327 0.141 I
0.728 0.825 0.629 I
0.010 0.673 0.859 I
0.030 0.204 0.991 I
0.194 0.792 0.543 I
0.612 0.297 0.832 I
0.694 0.208 0.457 I
0.112 0.703 0.168 I
0.228 0.175 0.371 I
0.513 0.994 0.069 H
0.889 0.441 0.548 H
0.013 0.006 0.931 H
0.776 0.266 0.894 H
0.276 0.734 0.106 H
0.389 0.559 0.452 H
```

Entry 2:
SnHI | PBE | relaxed

Properties
Calculated total energy (eV/atom): -3.044
Energy above the lowest structure with this stoichiometry (meV per atom): 0.0
SG: P1, No. 1

Structure (POSCAR):
```
SnHI
1.0
-1.451 -6.175 -0.713
6.530 0.412 -1.077
-2.737 1.347 5.844
I H Sn
2 2 2
direct
0.901 0.541 0.388 I
0.442 0.804 0.137 I
0.989 0.181 0.760 H
0.350 0.162 0.750 H
0.058 0.032 0.442 Sn
0.276 0.301 0.062 Sn
```